1.
A plane-wave DFT calculation with PBE was carried out for an optimized crystal structure of AcZn2Hg.

Properties
The energy above the lowest structure with this stoichiometry comes out at 206 meV/atom. For the calculated formation energy, the calculation gives -0.125 eV/atom.

extended XYZ file:
```
4
Lattice="-4.3576 1.1730 -0.2677 -0.2248 -1.8471 -4.4340 -1.2599 -4.2607 1.8388" Properties=species:S:1:pos:R:3 pbc="T T T"
Zn -0.6299 -2.1304 0.9194
Zn -0.1124 -0.9236 -2.2170
Hg -2.1788 0.5865 -0.1339
Ac -2.9211 -2.4674 -1.4314
```


2.
A plane-wave DFT calculation with PBE was carried out for an optimized crystal structure of UAlTcRu.

Properties
The energy above the lowest structure with this stoichiometry comes out at 132 meV/atom. For the calculated formation energy, the calculation gives -0.325 eV/atom.

extended XYZ file:
```
4
Lattice="4.5684 0.0000 0.0000 2.2842 3.9564 0.0000 2.2842 1.3188 3.7301" Properties=species:S:1:pos:R:3 pbc="T T T"
Ru 2.2842 1.3188 0.9325
Tc 6.8526 3.9564 2.7976
Al 4.5684 2.6376 1.8650
U 0.0000 0.0000 0.0000
```


3.
A plane-wave DFT calculation with PBE was carried out for an optimized crystal structure of K2CoSi.

Properties
The value obtained for the formation energy (no corrections) is 1041 meV/atom.

extended XYZ file:
```
4
Lattice="11.3530 0.0260 0.0152 10.9305 3.0687 0.0152 10.9305 1.5180 2.6670" Properties=species:S:1:pos:R:3 pbc="T T T"
K 16.5855 2.3034 1.3470
Co 24.9105 3.4596 2.0231
K 0.0215 0.0030 0.0017
Si 8.3035 1.1532 0.6744
```


4.
A plane-wave DFT calculation with PBE was carried out for an optimized crystal structure of K2YNi.

Properties
The energy above the lowest structure with this stoichiometry comes out at 653 meV/atom. For the calculated formation energy, the calculation gives 0.814 eV/atom.

extended XYZ file:
```
4
Lattice="6.8202 -0.0155 0.0000 -4.1928 5.3792 0.0000 0.0000 0.0000 3.6558" Properties=species:S:1:pos:R:3 pbc="T T T"
K 0.0000 0.0000 0.0000
Y -2.0964 2.6896 1.8279
Ni 3.4101 -0.0078 1.8279
K 1.3137 2.6818 0.0000
```


5.
A plane-wave DFT calculation with PBE was carried out for an optimized crystal structure of BaBeSe2.

Properties
The value obtained for the formation energy (no corrections) is -1300 meV/atom.

extended XYZ file:
```
8
Lattice="7.1518 0.0000 0.0000 0.0000 7.1518 0.0000 3.5759 3.5759 4.0084" Properties=species:S:1:pos:R:3 pbc="T T T"
Ba 0.0000 0.0000 0.0000
Be 3.5759 7.1518 2.0042
Se 2.5708 5.3638 1.0021
Se 4.5809 1.7879 1.0021
Be 3.5759 3.5759 0.0000
Se 5.3638 6.1467 3.0063
Ba 7.1518 3.5759 2.0042
Se 8.9397 8.1568 3.0063
```


6.
A plane-wave DFT calculation with PBE was carried out for an optimized crystal structure of LiScVCl6.

Properties
The value obtained for the formation energy (no corrections) is -1706 meV/atom.

extended XYZ file:
```
18
Lattice="6.2454 0.0000 0.0000 -3.1227 5.4086 0.0000 0.0000 0.0000 11.9241" Properties=species:S:1:pos:R:3 pbc="T T T"
Cl -0.9679 5.3843 1.5579
V 3.1227 1.8029 8.9431
V 0.0000 3.6058 2.9810
Cl 0.9679 5.3843 4.4041
Cl 4.1790 3.5304 10.3662
Sc 0.0000 3.6058 8.9431
Cl 1.0563 1.8783 4.4041
Cl 4.0906 0.0243 10.3662
Cl 1.0985 1.8539 10.3662
Li 0.0000 0.0000 0.0000
Cl -1.0563 1.8783 1.5579
Cl 2.0242 3.5547 1.5579
Cl 5.1469 1.8539 7.5200
Li 0.0000 0.0000 5.9621
Cl 2.1548 0.0243 7.5200
Cl 2.0664 3.5304 7.5200
Sc 3.1227 1.8029 2.9810
Cl -2.0242 3.5547 4.4041
```